No. 1
Li2HgOs (PBE, optimized geometry); theoretical density = 10.5 Mg/m³; D(E_F) = 0.627 states/eV/atom; total DFT energy (no corrections) = -3.645 eV/atom; formation enthalpy at 0 K = 194 meV/atom
1.0
2.694 0.000 0.000
0.000 2.694 0.000
0.000 0.000 8.777
Li Hg Os
2 1 1
direct
0.000 0.000 0.228 Li
0.000 0.000 0.772 Li
0.500 0.500 0.500 Hg
0.500 0.500 0.000 Os

---

No. 2
Sr2HgMo (PBE, optimized geometry); theoretical density = 6.8 Mg/m³; D(E_F) = 1.046 states/eV/atom; total DFT energy (no corrections) = -2.958 eV/atom; formation enthalpy at 0 K = 666 meV/atom
1.0
0.000 3.867 3.867
3.867 0.000 3.867
3.867 3.867 0.000
Sr Hg Mo
2 1 1
direct
0.000 0.000 0.000 Sr
0.250 0.250 0.250 Sr
0.750 0.750 0.750 Hg
0.500 0.500 0.500 Mo

---

No. 3
Be2CuPb (PBE, optimized geometry); theoretical density = 7.7 Mg/m³; D(E_F) = 0.447 states/eV/atom; total DFT energy (no corrections) = -3.050 eV/atom; formation enthalpy at 0 K = 765 meV/atom
1.0
0.000 3.142 3.142
3.142 0.000 3.142
3.142 3.142 0.000
Be Cu Pb
2 1 1
direct
0.000 0.000 0.000 Be
0.250 0.250 0.250 Be
0.750 0.750 0.750 Cu
0.500 0.500 0.500 Pb

---

No. 4
Ce3Nd2DyAs6 (PBE, optimized geometry); theoretical density = 6.9 Mg/m³; D(E_F) = 1.421 states/eV/atom; total DFT energy (no corrections) = -6.461 eV/atom; formation enthalpy at 0 K = -1474 meV/atom
1.0
3.654 -6.330 0.000
3.654 6.330 0.000
-2.438 0.000 6.886
Ce Nd Dy As
3 2 1 6
direct
0.000 0.000 0.000 Ce
0.332 0.668 0.000 Ce
0.668 0.332 0.000 Ce
0.166 0.834 0.500 Nd
0.834 0.166 0.500 Nd
0.500 0.500 0.500 Dy
0.088 0.416 0.248 As
0.257 0.257 0.754 As
0.416 0.088 0.248 As
0.584 0.912 0.752 As
0.743 0.743 0.246 As
0.912 0.584 0.752 As

---

No. 5
Ac2As3Au3 (PBE, optimized geometry); theoretical density = 9.3 Mg/m³; D(E_F) = 0.037 states/eV/atom; total DFT energy (no corrections) = -4.743 eV/atom; formation enthalpy at 0 K = -743 meV/atom
1.0
7.809 0.000 0.000
-3.905 6.763 0.000
0.000 0.000 8.553
Ac As Au
4 6 6
direct
0.333 0.667 0.000 Ac
0.333 0.667 0.500 Ac
0.667 0.333 0.000 Ac
0.667 0.333 0.500 Ac
0.000 0.333 0.250 As
0.000 0.667 0.750 As
0.333 0.000 0.250 As
0.333 0.333 0.750 As
0.667 0.000 0.750 As
0.667 0.667 0.250 As
0.000 0.328 0.750 Au
0.000 0.672 0.250 Au
0.328 0.000 0.750 Au
0.328 0.328 0.250 Au
0.672 0.000 0.250 Au
0.672 0.672 0.750 Au

---

No. 6
Zn4FeCu10Sn5Se20 (PBE, optimized geometry); theoretical density = 5.4 Mg/m³; raw formation energy = -14.4 eV/f.u.; D(E_F) = 0.132 states/eV/atom; total DFT energy (no corrections) = -3.967 eV/atom
1.0
10.394 -2.871 0.000
10.394 2.871 0.000
-3.284 0.000 16.012
Zn Fe Cu Sn Se
4 1 10 5 20
direct
0.100 0.100 0.400 Zn
0.300 0.299 0.200 Zn
0.701 0.700 0.800 Zn
0.900 0.900 0.600 Zn
0.502 0.498 0.000 Fe
0.099 0.099 0.148 Cu
0.102 0.098 0.650 Cu
0.298 0.303 0.950 Cu
0.301 0.299 0.450 Cu
0.502 0.498 0.250 Cu
0.502 0.498 0.750 Cu
0.697 0.702 0.050 Cu
0.701 0.699 0.550 Cu
0.901 0.901 0.852 Cu
0.902 0.898 0.350 Cu
0.100 0.101 0.901 Sn
0.300 0.301 0.701 Sn
0.499 0.501 0.500 Sn
0.699 0.700 0.299 Sn
0.899 0.900 0.099 Sn
0.134 0.653 0.471 Se
0.146 0.668 0.730 Se
0.164 0.641 0.233 Se
0.170 0.632 0.968 Se
0.332 0.854 0.270 Se
0.347 0.866 0.529 Se
0.359 0.836 0.767 Se
0.368 0.830 0.032 Se
0.530 0.056 0.070 Se
0.548 0.064 0.329 Se
0.557 0.039 0.568 Se
0.564 0.042 0.833 Se
0.726 0.262 0.874 Se
0.738 0.274 0.126 Se
0.758 0.237 0.367 Se
0.763 0.242 0.633 Se
0.936 0.452 0.671 Se
0.944 0.470 0.930 Se
0.958 0.436 0.167 Se
0.961 0.443 0.432 Se

---

No. 7
Nd3Ho6Tm (PBE, optimized geometry); excess energy over the best structure of this formula in the dataset = 75 meV per atom; theoretical density = 7.9 Mg/m³; D(E_F) = 1.752 states/eV/atom; total DFT energy (no corrections) = -4.398 eV/atom; formation enthalpy at 0 K = 226 meV/atom
1.0
5.758 -3.282 0.000
5.758 3.282 0.000
-4.039 0.000 8.794
Nd Ho Tm
3 6 1
direct
0.000 0.000 0.000 Nd
0.071 0.071 0.699 Nd
0.929 0.929 0.301 Nd
0.067 0.560 0.688 Ho
0.364 0.364 0.079 Ho
0.440 0.933 0.312 Ho
0.560 0.067 0.688 Ho
0.636 0.636 0.921 Ho
0.933 0.440 0.312 Ho
0.500 0.500 0.500 Tm

---

For reference, total magnetization by record: 0.22 3.94 0.00 1.88 0.00 3.91 0.00 μB per formula unit.